Density functional theory data (GGA-PBE) for crystalline PrTmBi2 at its relaxed geometry.

Results
SG: C2/m, No. 12
Relative energy among the computed polymorphs, meV per atom: 0.0
Formation energy from the elements, eV/atom: -0.865

Geometry as POSCAR:
```
PrTmBi2
1.0
4.5441 0.0110 0.0189
2.2572 3.9438 0.0189
2.2473 1.3068 7.4018
Pr Tm Bi
1 1 2
Direct
0.5000 0.5000 0.5000 Pr
0.0000 0.0000 0.0000 Tm
0.7453 0.7453 0.7641 Bi
0.2547 0.2547 0.2359 Bi
```



Density functional theory data (GGA-PBE) for crystalline ScBiS2N at its relaxed geometry.

Results
Uncorrected formation energy, meV/atom: -168
SG: P4/mmm, No. 123
Relative energy among the computed polymorphs, meV per atom: 0.0

Geometry as POSCAR:
```
ScBiS2N
1.0
-2.8654 -3.3840 2.3755
-2.1835 -1.2158 -4.3658
2.8521 -2.8577 -0.6307
Sc S Bi N
1 2 1 1
Direct
0.0000 0.0000 0.0000 Sc
0.0000 0.5000 0.0000 S
0.5000 0.0000 0.0000 S
0.5000 0.5000 0.5000 Bi
0.0000 0.0000 0.5000 N
```



Density functional theory data (GGA-PBE) for crystalline HoPa2Te4 at its relaxed geometry.

Results
Uncorrected formation energy, meV/atom: -847
SG: Cmcm, No. 63

Geometry as POSCAR:
```
HoPa2Te4
1.0
4.1082 0.0000 0.0000
-2.0541 6.8586 0.0000
0.0000 0.0000 15.6730
Ho Pa Te
2 4 8
Direct
0.6006 0.2012 0.7500 Ho
0.3994 0.7988 0.2500 Ho
0.1518 0.3036 0.4396 Pa
0.8482 0.6964 0.9396 Pa
0.1518 0.3036 0.0604 Pa
0.8482 0.6964 0.5604 Pa
0.7977 0.5955 0.1330 Te
0.7977 0.5955 0.3670 Te
0.2023 0.4045 0.8670 Te
0.2023 0.4045 0.6330 Te
0.9335 0.8670 0.7500 Te
0.0665 0.1330 0.2500 Te
0.5000 0.0000 0.0000 Te
0.5000 0.0000 0.5000 Te
```



no.,DOS at the Fermi energy (states/eV per cell),V (Å³/cell),total moment (μB per cell)
1,0.7,132.24,0.0
2,2.0,103.41,1.3
3,22.9,441.61,5.9